1.
The following is a DFT calculation (PBE) of crystalline Li2H6Pd at its relaxed geometry.

Calculated values
DOS(E_F)	0.00	states/eV per atom
total magnetization	0.000	μB/f.u.
calculated total energy	-3.442	eV/atom
symmetry	Fm-3m (225)

a = 4.6504 Å, b = 4.6504 Å, c = 4.6504 Å
α = 60.00°, β = 60.00°, γ = 60.00°
Closest atoms and distances in Å follow each position.
Element x y z (fractional)
H 0.7514 0.2486 0.2486  1 Pd 1.63
H 0.2486 0.7514 0.7514  1 Pd 1.63
H 0.2486 0.7514 0.2486  1 Pd 1.63
H 0.7514 0.2486 0.7514  1 Pd 1.63
H 0.7514 0.7514 0.2486  1 Pd 1.63
H 0.2486 0.2486 0.7514  1 Pd 1.63
Li 0.7500 0.7500 0.7500  12 H 2.33
Li 0.2500 0.2500 0.2500  12 H 2.33
Pd 0.0000 0.0000 0.0000  6 H 1.63



2.
The following is a DFT calculation (PBE) of crystalline CoCuBr at its relaxed geometry.

Calculated values
DOS(E_F)	1.33	states/eV per atom
formation energy (no corrections)	1.9	eV per formula unit
total magnetization	1.998	μB/f.u.
calculated total energy	-3.652	eV/atom
symmetry	Fmm2 (42)

a = 6.2832 Å, b = 5.9429 Å, c = 3.1736 Å
α = 80.98°, β = 69.09°, γ = 29.92°
Closest atoms and distances in Å follow each position.
Element x y z (fractional)
Br 0.9877 0.9877 0.0123  2 Co 2.48
Co 0.3301 0.3301 0.6699  2 Cu 2.41, 2 Br 2.48
Cu 0.6822 0.6822 0.3178  2 Co 2.41



3.
The following is a DFT calculation (PBE) of crystalline CaMg2Sn3 at its relaxed geometry.

Calculated values
DOS(E_F)	0.55	states/eV per atom
total magnetization	0.000	μB/f.u.
calculated total energy	-3.168	eV/atom
symmetry	Cmmm (65)

a = 4.3804 Å, b = 4.7599 Å, c = 7.6223 Å
α = 108.19°, β = 90.00°, γ = 90.00°
Closest atoms and distances in Å follow each position.
Element x y z (fractional)
Ca 0.0000 0.0000 0.0000  8 Sn 3.23-3.30, 4 Mg 3.44
Sn 0.5000 0.5000 0.0000  4 Ca 3.23, 4 Mg 3.31, 4 Sn 3.43
Sn 0.5000 0.8296 0.6593  6 Mg 3.17-3.23, 2 Ca 3.30, 4 Sn 3.31-3.43
Sn 0.5000 0.1704 0.3407  6 Mg 3.17-3.23, 2 Ca 3.30, 4 Sn 3.31-3.43
Mg 0.0000 0.3286 0.6572  8 Sn 3.17-3.31, 2 Mg 3.29, 2 Ca 3.44
Mg 0.0000 0.6714 0.3428  8 Sn 3.17-3.31, 2 Mg 3.29, 2 Ca 3.44



4.
The following is a DFT calculation (PBE) of crystalline TlFeP2 at its relaxed geometry.

Calculated values
DOS(E_F)	0.52	states/eV per atom
total magnetization	0.737	μB/f.u.
calculated total energy	-5.187	eV/atom
symmetry	P4mm (99)

a = 3.0126 Å, b = 3.0124 Å, c = 7.8757 Å
α = 90.00°, β = 90.00°, γ = 90.00°
Closest atoms and distances in Å follow each position.
Element x y z (fractional)
P 0.0000 0.0000 0.9589  4 Fe 2.28
P 0.5000 0.5000 0.1433  1 Fe 2.27
Fe 0.5000 0.5000 0.8547  5 P 2.27-2.28
Tl 0.0000 0.0000 0.5431  4 Tl 3.01, 4 Fe 3.25, 1 P 3.27



5.
The following is a DFT calculation (PBE) of crystalline K2NiPt at its relaxed geometry.

Calculated values
DOS(E_F)	0.55	states/eV per atom
total magnetization	0.078	μB/f.u.
calculated total energy	-2.879	eV/atom
symmetry	R-3m (166)

a = 10.7150 Å, b = 10.7150 Å, c = 10.7150 Å
α = 16.22°, β = 16.22°, γ = 16.22°
Closest atoms and distances in Å follow each position.
Element x y z (fractional)
Pt 0.7500 0.7500 0.7500  6 Pt 3.02, 6 K 3.19
Ni 0.2500 0.2500 0.2500  6 Ni 3.02, 6 K 3.15
K 0.5008 0.5008 0.5008  6 K 3.02, 3 Ni 3.15, 3 Pt 3.19
K 0.9992 0.9992 0.9992  6 K 3.02, 3 Ni 3.15, 3 Pt 3.19



6.
The following is a DFT calculation (PBE) of crystalline CeCd2Ni6 at its relaxed geometry.

Calculated values
DOS(E_F)	1.18	states/eV per atom
total magnetization	0.000	μB/f.u.
calculated total energy	-4.563	eV/atom
symmetry	Fm-3m (225)

a = 5.8093 Å, b = 5.8093 Å, c = 5.8093 Å
α = 60.00°, β = 60.00°, γ = 60.00°
Closest atoms and distances in Å follow each position.
Element x y z (fractional)
Ni 0.7087 0.7087 0.2913  1 Ce 2.39, 4 Ni 2.43
Ni 0.7087 0.2913 0.7087  1 Ce 2.39, 4 Ni 2.43
Ni 0.2913 0.2913 0.7087  1 Ce 2.39, 4 Ni 2.43
Ni 0.7087 0.2913 0.2913  1 Ce 2.39, 4 Ni 2.43
Ni 0.2913 0.7087 0.2913  1 Ce 2.39, 4 Ni 2.43
Ni 0.2913 0.7087 0.7087  1 Ce 2.39, 4 Ni 2.43
Ce 0.0000 0.0000 0.0000  6 Ni 2.39
Cd 0.2500 0.2500 0.2500  12 Ni 2.92
Cd 0.7500 0.7500 0.7500  12 Ni 2.92